12
Lattice="5.681 0.000 1.834 1.907 8.378 3.810 0.178 0.061 9.166" Properties=species:S:1:pos:R:3 comment="K5Tl5Cd2, relaxed, DFT PBE-GGA" sg="No. 12" vol_a3_per_cell=432 formation_energy_mev_per_atom=-55 pbc="T T T"
K 3.883 4.220 7.405
K 2.962 2.299 10.257
K 1.853 0.026 3.975
K 5.913 8.413 10.834
K 4.804 6.140 4.553
Tl 6.859 6.217 7.904
Tl 2.755 5.822 10.899
Tl 5.011 2.617 3.911
Tl 0.907 2.222 6.906
Tl 0.000 0.000 0.000
Cd 5.994 4.714 10.581
Cd 1.772 3.726 4.228